(1)
This record from Alexandria describes a geometry-optimized EuTlAgSn structure. The functional is PBE.

Output
Symmetry: F-43m
D(E_F): 5.9 states/eV/f.u.
Crystal system: cubic
VASP energy: -20.601 eV for the cell shown
Magnetization: 7.17 μB per cell
Calculated formation energy: -0.277 eV per atom

```
EuTlAgSn
1.0
-0.287 -1.319 -5.115
-2.004 -4.686 -1.415
-4.703 -0.247 -2.408
Ag Eu Sn Tl
1 1 1 1
Direct
0.750 0.750 0.750
0.000 0.000 0.000
0.500 0.500 0.500
0.250 0.250 0.250
```

(2)
This record from Alexandria describes a geometry-optimized EuTmAgSn structure. The functional is PBE.

Output
Symmetry: F-43m
D(E_F): 7.6 states/eV/f.u.
Crystal system: cubic
VASP energy: -23.620 eV for the cell shown
Magnetization: 7.26 μB per cell
Calculated formation energy: -0.505 eV per atom

```
EuTmAgSn
1.0
5.313 0.000 0.000
2.657 4.602 0.000
2.657 1.534 4.338
Sn Ag Tm Eu
1 1 1 1
Direct
0.750 0.750 0.750
0.250 0.250 0.250
0.000 0.000 0.000
0.500 0.500 0.500
```

(3)
This record from Alexandria describes a geometry-optimized EuYAgSn structure. The functional is PBE.

Output
Symmetry: F-43m
D(E_F): 8.5 states/eV/f.u.
Crystal system: cubic
VASP energy: -25.735 eV for the cell shown
Magnetization: 7.30 μB per cell
Calculated formation energy: -0.536 eV per atom

```
EuYAgSn
1.0
5.352 0.000 0.000
2.676 4.635 0.000
2.676 1.545 4.370
Y Ag Eu Sn
1 1 1 1
Direct
0.750 0.750 0.750
0.500 0.500 0.500
0.250 0.250 0.250
0.000 0.000 0.000
```

(4)
This record from Alexandria describes a geometry-optimized EuZnAgSn structure. The functional is PBE.

Output
Symmetry: F-43m
D(E_F): 4.7 states/eV/f.u.
Crystal system: cubic
VASP energy: -19.731 eV for the cell shown
Magnetization: 6.95 μB per cell
Calculated formation energy: -0.332 eV per atom

```
EuZnAgSn
1.0
-1.902 4.349 -1.703
-4.309 0.013 -2.620
-4.196 1.894 2.058
Zn Sn Eu Ag
1 1 1 1
Direct
0.000 0.000 0.000
0.250 0.250 0.250
0.750 0.750 0.750
0.500 0.500 0.500
```